Entry 1
Y6HoEr12: optimized geometry, PBE.

Geometry as extended XYZ:
```
19
Lattice="6.535 3.773 4.181 -6.535 3.773 4.181 0.000 -7.546 4.181" Properties=species:S:1:pos:R:3 pbc="T T T"
Y -2.896 -1.672 5.691
Y 0.000 -3.345 6.853
Y -2.896 1.672 6.853
Y 2.896 -1.672 5.691
Y 0.000 3.345 5.691
Y 2.896 1.672 6.853
Ho 0.000 0.000 6.272
Er -1.675 -4.644 4.181
Er -4.859 0.871 4.181
Er 0.000 -2.062 2.966
Er -1.786 1.031 2.966
Er 1.675 -4.644 4.181
Er -3.184 3.773 4.181
Er 1.786 1.031 2.966
Er -1.786 -1.031 9.578
Er 4.859 0.871 4.181
Er 3.184 3.773 4.181
Er 1.786 -1.031 9.578
Er 0.000 2.062 9.578
```

---

Entry 2
Y6HoEr12: optimized geometry, PBE.

Geometry as extended XYZ:
```
19
Lattice="6.125 3.536 4.698 -6.125 3.536 4.698 0.000 -7.073 4.698" Properties=species:S:1:pos:R:3 pbc="T T T"
Y -0.933 -3.259 6.400
Y -3.289 -0.821 7.694
Y -2.356 2.438 6.400
Y 2.356 -2.438 7.694
Y 3.289 0.821 6.400
Y 0.933 3.259 7.694
Ho 0.000 0.000 7.047
Er -5.756 1.469 6.032
Er -4.151 -4.251 8.062
Er -1.925 -0.523 4.317
Er 1.606 -5.720 6.032
Er 1.416 -1.405 4.317
Er 0.509 1.929 4.317
Er -0.509 -1.929 9.777
Er -1.416 1.405 9.777
Er -1.606 5.720 8.062
Er 1.925 0.523 9.777
Er 4.151 4.251 6.032
Er 5.756 -1.469 8.062
```

---

Going by the energies, entry 2 is most stable and the next is 3.5 kJ/mol of atoms up.

---

Entry 1
Y2Ho6Er3: optimized geometry, PBE.

Geometry as extended XYZ:
```
11
Lattice="-2.342 2.342 16.579 2.342 -2.342 16.579 2.342 2.342 -16.579" Properties=species:S:1:pos:R:3 pbc="T T T"
Y 0.000 0.000 1.534
Y 0.000 0.000 31.625
Ho 2.342 0.000 4.063
Ho 0.000 0.000 6.536
Ho 2.342 0.000 12.516
Ho 0.000 2.342 4.063
Ho 0.000 0.000 26.622
Ho 0.000 2.342 12.516
Er 0.000 0.000 9.943
Er 0.000 0.000 16.579
Er 0.000 0.000 23.216
```

---

Entry 2
Y2Ho6Er3: optimized geometry, PBE.

Geometry as extended XYZ:
```
11
Lattice="1.766 1.019 31.607 -1.766 1.019 31.607 0.000 -2.039 31.607" Properties=species:S:1:pos:R:3 pbc="T T T"
Y 0.000 0.000 4.331
Y 0.000 0.000 90.490
Ho 0.000 0.000 12.945
Ho 0.000 0.000 30.176
Ho 0.000 0.000 38.839
Ho 0.000 0.000 55.982
Ho 0.000 0.000 64.645
Ho 0.000 0.000 81.876
Er 0.000 0.000 21.519
Er 0.000 0.000 47.410
Er 0.000 0.000 73.302
```

---

Going by the energies, entry 2 is most stable and the next is 26.1 kJ/mol of atoms up.

---

Entry 1
Y3Ho4Er: optimized geometry, PBE.

Geometry as extended XYZ:
```
8
Lattice="11.688 -1.736 0.000 11.688 1.736 0.000 -1.871 0.000 6.351" Properties=species:S:1:pos:R:3 pbc="T T T"
Y 0.000 0.000 0.000
Y 2.212 0.000 2.419
Y 19.293 0.000 3.931
Ho 1.284 0.000 5.507
Ho 5.613 0.000 1.636
Ho 15.892 0.000 4.714
Ho 20.221 0.000 0.843
Er 10.753 0.000 3.175
```

---

Entry 2
Y3Ho4Er: optimized geometry, PBE.

Geometry as extended XYZ:
```
16
Lattice="11.205 0.000 0.000 0.000 7.251 0.000 0.000 0.000 6.267" Properties=species:S:1:pos:R:3 pbc="T T T"
Y 0.000 0.912 0.000
Y 2.799 0.914 2.104
Y 2.804 6.337 5.238
Y 5.602 6.338 3.133
Y 8.406 0.914 2.104
Y 8.401 6.337 5.238
Ho 0.000 2.729 3.159
Ho 0.000 4.522 0.017
Ho 2.789 4.524 2.097
Ho 2.814 2.726 5.230
Ho 5.602 2.729 3.151
Ho 5.602 4.522 0.026
Ho 8.391 2.726 5.230
Ho 8.416 4.524 2.097
Er 0.000 6.333 3.134
Er 5.602 0.918 0.001
```

---

Going by the energies, entry 2 is most stable and the next is 16.1 kJ/mol of atoms up.